No. 1
Li3BiF6: relaxed, PBE.

Lattice parameters (Å, degrees): 5.1193 5.1619 5.7793 115.68 94.02 103.95
Last column: nearest neighbours and their distance in Å.
Element x y z (fractional)
Li: 0.0000 0.0000 0.0000  4 F 1.90-2.09
Li: 0.0000 0.5000 0.0000  2 F 1.93
Li: 0.5000 0.0000 0.0000  4 F 1.92-2.09
Bi: 0.5000 0.5000 0.5000  6 F 2.31-2.33
F: 0.1910 0.6760 0.7519  1 Li 1.92
F: 0.2694 0.9889 0.2817  3 Li 2.09-2.32, 1 Bi 2.31
F: 0.2886 0.3506 0.0740  2 Li 1.90-1.93
F: 0.7114 0.6494 0.9260  2 Li 1.90-1.93
F: 0.7306 0.0111 0.7183  3 Li 2.09-2.32, 1 Bi 2.31
F: 0.8090 0.3240 0.2481  1 Li 1.92

Output
The calculated volume comes out at 131 Å³/cell. The density of states at the Fermi level comes out at 0.0 states/eV/f.u. The space-group type is P-1, No. 2. The energy above the most stable polymorph in this dataset is 18 meV per atom.

=====

No. 2
BeInW2: relaxed, PBE.

Lattice parameters (Å, degrees): 3.2071 4.4107 8.8371 90.00 90.00 90.00
Last column: nearest neighbours and their distance in Å.
Element x y z (fractional)
Be: 0.0000 0.0000 0.0000  4 W 2.63, 4 In 2.73
Be: 0.5000 0.5000 0.5000  4 W 2.63, 4 In 2.73
In: 0.0000 0.0000 0.5000  4 Be 2.73, 8 W 2.83-3.03
In: 0.5000 0.5000 0.0000  4 Be 2.73, 8 W 2.83-3.03
W: 0.0000 0.5000 0.2645  2 Be 2.63, 4 W 2.74, 2 In 2.83
W: 0.0000 0.5000 0.7355  2 Be 2.63, 4 W 2.74, 2 In 2.83
W: 0.5000 0.0000 0.2355  2 Be 2.63, 4 W 2.74, 2 In 2.83
W: 0.5000 0.0000 0.7645  2 Be 2.63, 4 W 2.74, 2 In 2.83

Output
The calculated volume comes out at 125 Å³/cell. The density of states at the Fermi level comes out at 2.3 states/eV/f.u. The space-group type is Immm, No. 71. The energy above the most stable polymorph in this dataset is 121 meV per atom.

=====

No. 3
Rb2BeFeCl6: relaxed, PBE.

Lattice parameters (Å, degrees): 7.1401 7.1401 7.1401 122.37 122.37 85.94
Last column: nearest neighbours and their distance in Å.
Element x y z (fractional)
Rb: 0.2500 0.7500 0.5000  12 Cl 3.46-3.58
Rb: 0.7500 0.2500 0.5000  12 Cl 3.46-3.58
Be: 0.0000 0.0000 0.0000  4 Cl 2.18
Fe: 0.5000 0.5000 0.0000  2 Cl 2.29
Cl: 0.2243 0.2243 0.4487  1 Be 2.18
Cl: 0.2243 0.7757 0.0000  1 Be 2.18
Cl: 0.2810 0.2810 0.0000  1 Fe 2.29
Cl: 0.7190 0.7190 0.0000  1 Fe 2.29
Cl: 0.7757 0.2243 0.0000  1 Be 2.18
Cl: 0.7757 0.7757 0.5513  1 Be 2.18

Output
The calculated volume comes out at 247 Å³/cell. The density of states at the Fermi level comes out at 0.0 states/eV/f.u. For the calculated total energy, the calculation gives -3.802 eV/atom. The space-group type is I4/mmm, No. 139.

=====

No. 4
ZrCdCl2: relaxed, PBE.

Lattice parameters (Å, degrees): 3.9252 5.3327 9.1499 90.00 90.00 90.00
Last column: nearest neighbours and their distance in Å.
Element x y z (fractional)
Zr: 0.0000 0.0000 0.0000  2 Cl 2.63
Zr: 0.5000 0.5000 0.0000  2 Cl 2.63
Cd: 0.0000 0.5000 0.2516  2 Cl 2.60
Cd: 0.5000 0.0000 0.2516  2 Cl 2.60
Cl: 0.0000 0.0000 0.4373  2 Cd 2.60
Cl: 0.0000 0.5000 0.8083  2 Zr 2.63
Cl: 0.5000 0.0000 0.8083  2 Zr 2.63
Cl: 0.5000 0.5000 0.4373  2 Cd 2.60

Output
The calculated volume comes out at 192 Å³/cell. The density of states at the Fermi level comes out at 1.2 states/eV/f.u. The space-group type is Cmm2, No. 35. The energy above the most stable polymorph in this dataset is 316 meV per atom.

=====

No. 5
LiSnH6Ru: relaxed, PBE.

Lattice parameters (Å, degrees): 4.4492 4.5065 4.9758 80.50 68.42 70.93
Last column: nearest neighbours and their distance in Å.
Element x y z (fractional)
Li: 0.0000 0.0000 0.0000  6 H 1.91-2.09
Sn: 0.1194 0.4954 0.4656  2 H 2.11-2.13
H: 0.3167 0.2655 0.8691  1 Ru 1.65
H: 0.4201 0.8192 0.6989  1 Ru 1.61, 1 H 1.70
H: 0.5770 0.9378 0.3448  1 Ru 1.65, 1 H 1.70
H: 0.7171 0.8208 0.8779  1 Ru 1.65, 1 H 1.85
H: 0.7522 0.2917 0.7764  1 Ru 1.71, 1 H 1.86, 1 Li 1.91
H: 0.8670 0.2700 0.3165  1 Ru 1.76, 1 Li 1.95
Ru: 0.6387 0.0645 0.6081  6 H 1.61-1.76

Output
The calculated volume comes out at 88 Å³/cell. The density of states at the Fermi level comes out at 1.2 states/eV/f.u. For the calculated total energy, the calculation gives -3.956 eV/atom. The space-group type is P1, No. 1.

=====

No. 6
CoAs2Au: relaxed, PBE.

Lattice parameters (Å, degrees): 5.2810 3.4310 8.0065 90.00 100.80 90.00
Last column: nearest neighbours and their distance in Å.
Element x y z (fractional)
Co: 0.0000 0.0000 0.0000  6 As 2.34-2.38
Co: 0.5000 0.5000 0.0000  6 As 2.34-2.38
As: 0.0996 0.5000 0.8166  3 Co 2.34-2.38, 1 Au 2.49
As: 0.4004 0.0000 0.1834  3 Co 2.34-2.38, 1 Au 2.49
As: 0.5996 0.0000 0.8166  3 Co 2.34-2.38, 1 Au 2.49
As: 0.9004 0.5000 0.1834  3 Co 2.34-2.38, 1 Au 2.49
Au: 0.0000 0.5000 0.5000  2 As 2.49
Au: 0.5000 0.0000 0.5000  2 As 2.49

Output
The calculated volume comes out at 142 Å³/cell. The density of states at the Fermi level comes out at 2.2 states/eV/f.u. The space-group type is C2/m, No. 12. The energy above the most stable polymorph in this dataset is 0 meV per atom.

=====

Q: Among the records above, which one has the lowest calculated volume?
A: LiSnH6Ru